Record 1
The following is a PBE calculation of a relaxed Li2DyAlH8 crystal, from the Alexandria database.

Geometry as POSCAR:
```
Li2DyAlH8
1.0
4.286 0.164 0.050
0.150 4.187 0.821
0.186 1.158 5.798
H Al Dy Li
8 1 1 2
Cartesian
1.294 4.331 5.648
4.373 3.121 2.215
0.250 2.389 4.455
3.334 4.877 5.780
1.288 0.632 0.890
2.216 1.623 3.043
2.407 3.886 3.627
3.329 1.179 1.022
0.000 0.000 0.000
0.093 0.579 2.899
2.297 2.493 4.734
2.325 3.016 1.936
```

Properties
Energy = -3.526 eV per atom


Record 2
The following is a PBE calculation of a relaxed DyAlNi2H crystal, from the Alexandria database.

Geometry as POSCAR:
```
DyAlNi2H
1.0
3.683 0.000 0.000
-1.842 5.216 0.000
0.000 0.000 6.957
Dy Ni Al H
2 4 2 2
Cartesian
1.842 0.610 1.739
0.000 4.606 5.217
0.000 1.635 6.571
1.842 3.581 3.093
0.000 1.635 3.864
1.842 3.581 0.385
0.000 2.896 1.739
1.842 2.320 5.217
0.000 0.000 0.000
0.000 0.000 3.478
```

Properties
DOS(E_F) = 3.85 states/eV per cell
Energy = -5.191 eV per atom


Record 3
The following is a PBE calculation of a relaxed DyAlH2O4 crystal, from the Alexandria database.

Geometry as POSCAR:
```
DyAlH2O4
1.0
4.469 0.000 0.000
2.234 4.049 0.014
2.234 0.345 4.034
O H Al Dy
4 2 1 1
Cartesian
3.242 3.502 2.233
5.696 1.881 0.740
5.696 2.513 3.307
3.242 0.892 1.814
6.703 2.987 2.751
2.234 1.407 1.296
4.469 2.197 2.024
0.000 0.000 0.000
```

Properties
DOS(E_F) = 0.00 states/eV per cell
Energy = -6.638 eV per atom


Record 4
The following is a PBE calculation of a relaxed Dy2AlHPt6 crystal, from the Alexandria database.

Geometry as POSCAR:
```
Dy2AlHPt6
1.0
5.623 0.012 0.009
-0.018 6.881 0.950
2.794 4.043 4.908
Al Pt Dy H
1 6 2 1
Cartesian
2.803 3.446 0.480
1.401 5.437 0.918
5.600 6.912 2.983
6.998 5.499 4.949
2.799 4.024 2.884
4.202 5.495 4.946
4.197 5.441 0.921
2.786 7.719 3.552
5.613 3.217 2.315
0.000 0.000 0.000
```

Properties
DOS(E_F) = 2.94 states/eV per cell
Energy = -6.179 eV per atom


Record 5
The following is a PBE calculation of a relaxed DyHf3Al8 crystal, from the Alexandria database.

Geometry as POSCAR:
```
DyHf3Al8
1.0
-1.101 -1.940 -4.825
-0.628 -3.059 4.301
-8.346 2.807 0.777
Hf Al Dy
3 8 1
Cartesian
-1.493 -2.128 -1.732
-4.499 -1.117 -1.452
-7.823 2.631 0.728
-6.874 1.121 -1.810
-7.717 -1.318 -2.065
-0.801 -2.681 1.261
-7.180 -0.372 0.289
-2.433 -0.622 0.805
-2.755 -2.188 3.007
-4.947 -1.287 1.646
-3.318 -3.180 0.538
-4.714 1.585 0.439
```

Properties
DOS(E_F) = 5.25 states/eV per cell
E above lowest polymorph = 6 meV/atom


Record 6
The following is a PBE calculation of a relaxed Dy2HfAl crystal, from the Alexandria database.

Geometry as POSCAR:
```
Dy2HfAl
1.0
4.627 0.000 0.000
0.000 4.571 0.000
0.000 0.000 4.571
Hf Dy Al
1 2 1
Cartesian
2.314 2.285 2.285
0.000 0.000 2.285
0.000 2.285 0.000
2.314 0.000 0.000
```

Properties
DOS(E_F) = 2.85 states/eV per cell
E above lowest polymorph = 1 meV/atom


Number 1: theoretical density 3.516 g/cm3. Number 2: theoretical density 7.650 g/cm3. Number 3: theoretical density 5.815 g/cm3. Number 4: theoretical density 15.046 g/cm3. Number 5: theoretical density 7.016 g/cm3. Number 6: theoretical density 9.112 g/cm3.